Entry from Alexandria: YCuPd4 after structural relaxation (PBE).

Cell: 9.573 9.573 5.018 Å, 90.00 90.00 152.54°
Fractional positions:
Y 0.135 0.865 0.500
Y 0.865 0.135 0.000
Cu 0.406 0.594 0.319
Cu 0.594 0.406 0.819
Pd 0.040 0.960 0.997
Pd 0.268 0.732 0.183
Pd 0.316 0.684 0.681
Pd 0.460 0.540 0.823
Pd 0.540 0.460 0.323
Pd 0.684 0.316 0.181
Pd 0.732 0.268 0.683
Pd 0.960 0.040 0.497

Summary:
Its density of states at the Fermi level is 5.43 states/eV per cell. The energy above the most stable polymorph in this dataset is 0.0515 eV/atom. The formation energy is -0.385 eV per atom. The space group is Cmc2_1. The calculated volume is 212.07 Å³/cell. Its total energy is -67.29 eV/cell.